# 1
A plane-wave DFT calculation with PBE-GGA was carried out for an optimized crystal structure of Li3Ce.

Cell lengths 5.205, 5.205, 5.205 Å; angles 60.00, 60.00, 60.00 degrees
Positions (direct):
1 Ce 0.000 0.000 0.000
2 Li 0.750 0.750 0.750
3 Li 0.250 0.250 0.250
4 Li 0.500 0.500 0.500

Properties
For the total energy, the calculation gives -10.29 eV/cell. The calculation puts the formation energy at 1.38 eV per formula unit. For the density of states at the Fermi level, the calculation gives 11.29 states/eV/cell. The space group is Fm-3m, No. 225. For the excess energy over the best structure of this formula in the dataset, the calculation gives 0.47 eV/f.u.

=====

# 2
A plane-wave DFT calculation with PBE-GGA was carried out for an optimized crystal structure of LiCe4.

Cell lengths 5.167, 5.167, 5.167 Å; angles 90.00, 90.00, 90.00 degrees
Positions (direct):
1 Li 0.500 0.500 0.500
2 Ce 0.000 0.000 0.000
3 Ce 0.500 0.500 0.000
4 Ce 0.000 0.500 0.500
5 Ce 0.500 0.000 0.500

Properties
For the total energy, the calculation gives -22.58 eV/cell. The calculation puts the formation energy at 3.07 eV per formula unit. For the density of states at the Fermi level, the calculation gives 16.28 states/eV/cell. The space group is Pm-3m, No. 221.

=====

# 3
A plane-wave DFT calculation with PBE-GGA was carried out for an optimized crystal structure of LiCe5.

Cell lengths 3.190, 5.464, 8.957 Å; angles 107.76, 90.00, 90.00 degrees
Positions (direct):
1 Ce 0.000 0.653 0.306
2 Ce 0.500 0.500 0.000
3 Ce 0.500 0.832 0.665
4 Ce 0.000 0.347 0.694
5 Ce 0.500 0.168 0.335
6 Li 0.000 0.000 0.000

Properties
For the total energy, the calculation gives -30.71 eV/cell. The calculation puts the formation energy at 0.87 eV per formula unit. For the density of states at the Fermi level, the calculation gives 15.93 states/eV/cell. The space group is Cmmm, No. 65.

=====

# 4
A plane-wave DFT calculation with PBE-GGA was carried out for an optimized crystal structure of Li3Ce.

Cell lengths 2.942, 5.293, 5.936 Å; angles 90.00, 90.00, 90.00 degrees
Positions (direct):
1 Li 0.500 0.500 0.807
2 Li 0.000 0.000 0.992
3 Li 0.500 0.000 0.556
4 Ce 0.000 0.500 0.310

Properties
For the total energy, the calculation gives -10.76 eV/cell. The calculation puts the formation energy at 0.91 eV per formula unit. For the density of states at the Fermi level, the calculation gives 7.70 states/eV/cell. The space group is Pmm2, No. 25. For the excess energy over the best structure of this formula in the dataset, the calculation gives 0.00 eV/f.u.

=====

Among the records above, which one has the highest formation energy? LiCe4